The following is a DFT calculation (PBE) of a geometry-optimized ZrFeSi2Os structure.

```
ZrFeSi2Os
1.0
4.848 0.000 0.000
0.000 4.374 0.000
0.000 0.000 4.848
Si Os Fe Zr
2 1 1 1
Direct
0.000 0.000 0.500
0.500 0.000 0.000
0.500 0.500 0.500
0.000 0.500 0.000
0.000 0.000 0.000
```

Summary:
* symmetry: P4/mmm, No. 123
* uncorrected formation energy: 186.8 kJ/mol of atoms

The following is a DFT calculation (PBE) of a geometry-optimized InAg2 structure.

```
InAg2
1.0
4.865 0.000 0.000
-2.432 4.213 0.000
0.000 0.000 5.795
Ag In
4 2
Direct
0.000 0.000 0.000
0.667 0.333 0.750
0.333 0.667 0.250
0.000 0.000 0.500
0.333 0.667 0.750
0.667 0.333 0.250
```

Summary:
* symmetry: P6_3/mmc, No. 194
* formation energy: 23 meV per atom

The following is a DFT calculation (PBE) of a geometry-optimized CsKCa2Tl structure.

```
CsKCa2Tl
1.0
6.264 0.000 0.000
0.000 6.264 0.000
0.000 0.000 7.051
Tl Cs Ca K
1 1 2 1
Direct
0.000 0.000 0.000
0.500 0.500 0.500
0.000 0.500 0.000
0.500 0.000 0.000
0.000 0.000 0.500
```

Summary:
* symmetry: P4/mmm, No. 123
* formation energy: 15 meV per atom

The following is a DFT calculation (PBE) of a geometry-optimized La2PmHo2 structure.

```
La2PmHo2
1.0
-4.702 0.425 -3.609
-3.985 -8.667 -2.158
-6.350 6.908 2.759
Pm Ho La
2 4 4
Direct
0.250 0.097 0.903
0.750 0.903 0.097
0.863 0.872 0.411
0.363 0.411 0.872
0.637 0.589 0.128
0.137 0.128 0.589
0.793 0.237 0.378
0.207 0.763 0.622
0.707 0.622 0.763
0.293 0.378 0.237
```

Summary:
* symmetry: C2/c, No. 15
* formation energy: 182 meV per atom

The following is a DFT calculation (PBE) of a geometry-optimized Rb2MnAuI6 structure.

```
Rb2MnAuI6
1.0
-6.867 -4.409 2.176
0.735 -4.616 -7.034
0.322 -8.367 0.454
I Rb Mn Au
6 2 1 1
Direct
0.276 0.276 0.000
0.225 0.225 0.550
0.724 0.724 0.000
0.775 0.775 0.450
0.276 0.724 0.000
0.724 0.276 0.000
0.750 0.250 0.500
0.250 0.750 0.500
0.500 0.500 0.000
0.000 0.000 0.000
```

Summary:
* symmetry: I4/mmm, No. 139
* uncorrected formation energy: -69.4 kJ/mol of atoms

The following is a DFT calculation (PBE) of a geometry-optimized SrLiMn2 structure.

```
SrLiMn2
1.0
-2.390 2.356 0.802
-1.883 -2.478 1.671
1.754 -0.949 8.018
Sr Mn Li
1 2 1
Direct
0.000 0.521 0.480
0.000 0.987 0.013
0.500 0.315 0.185
0.500 0.677 0.823
```

Summary:
* symmetry: Pm, No. 6
* formation energy: 554 meV per atom

The following is a DFT calculation (PBE) of a geometry-optimized ScPa2OsC4 structure.

```
ScPa2OsC4
1.0
-0.678 -1.705 -2.956
3.268 -3.704 3.433
-10.075 -4.396 4.847
C Sc Pa Os
8 2 4 2
Direct
0.734 0.467 0.635
0.553 0.106 0.250
0.000 0.000 0.000
0.447 0.894 0.750
0.734 0.467 0.865
0.000 0.000 0.500
0.266 0.533 0.135
0.266 0.533 0.365
0.871 0.742 0.250
0.129 0.258 0.750
0.365 0.730 0.959
0.635 0.270 0.041
0.365 0.730 0.541
0.635 0.270 0.459
0.862 0.723 0.750
0.138 0.277 0.250
```

Summary:
* symmetry: Cmcm, No. 63
* formation energy: -40 meV per atom

The following is a DFT calculation (PBE) of a geometry-optimized PmTlCdBr6 structure.

```
PmTlCdBr6
1.0
7.386 0.000 0.000
-3.693 6.396 0.000
0.000 0.000 14.554
Cd Br Pm Tl
2 12 2 2
Direct
0.333 0.667 0.250
0.667 0.333 0.750
0.634 0.627 0.637
0.373 0.007 0.637
0.993 0.366 0.637
0.627 0.993 0.363
0.366 0.993 0.137
0.627 0.634 0.137
0.007 0.634 0.363
0.007 0.373 0.137
0.366 0.373 0.363
0.993 0.627 0.863
0.373 0.366 0.863
0.634 0.007 0.863
0.333 0.667 0.750
0.667 0.333 0.250
0.000 0.000 0.000
0.000 0.000 0.500
```

Summary:
* symmetry: P-31c, No. 163
* uncorrected formation energy: -126.6 kJ/mol of atoms

Number 1: E_tot -29.41 eV/cell, V 102.8 Å³ per cell. Number 2: E_tot -16.74 eV/cell, V 118.8 Å³ per cell. Number 3: E_tot -8.25 eV/cell, V 276.6 Å³ per cell. Number 4: E_tot -45.70 eV/cell, V 350.8 Å³ per cell. Number 5: E_tot -30.87 eV/cell, V 419.8 Å³ per cell. Number 6: E_tot -19.72 eV/cell, V 91.1 Å³ per cell. Number 7: E_tot -147.53 eV/cell, V 240.7 Å³ per cell. Number 8: E_tot -59.75 eV/cell, V 687.6 Å³ per cell.